[1]
TaW5 | PBEsol | relaxed

Calculated values
VASP energy, eV/atom: -13.665
Magnetic moment, μB per formula unit: 0.00

abc: 4.483 4.480 5.259
angles: 64.79 90.00 90.00
Atoms (fractional coordinates):
1 W 0.500 0.332 0.336
2 W 0.000 0.168 0.663
3 W 0.500 0.000 0.000
4 W 0.000 0.832 0.337
5 W 0.500 0.668 0.664
6 Ta 0.000 0.500 0.000

[2]
TaW2 | PBEsol | relaxed

Calculated values
VASP energy, eV/atom: -13.481
Magnetic moment, μB per formula unit: 0.00

abc: 3.180 5.292 6.386
angles: 107.71 90.00 107.48
Atoms (fractional coordinates):
1 W 0.500 0.000 0.755
2 W 0.500 0.000 0.245
3 W 0.165 0.330 0.080
4 W 0.835 0.670 0.920
5 Ta 0.165 0.330 0.585
6 Ta 0.835 0.670 0.415

[3]
TaW3 | PBEsol | relaxed

Calculated values
VASP energy, eV/atom: -13.578
Magnetic moment, μB per formula unit: 0.00

abc: 4.487 5.511 5.511
angles: 109.55 90.00 90.00
Atoms (fractional coordinates):
1 Ta 0.250 0.624 0.376
2 Ta 0.750 0.376 0.624
3 W 0.750 0.373 0.123
4 W 0.750 0.874 0.126
5 W 0.250 0.123 0.373
6 W 0.750 0.877 0.627
7 W 0.250 0.126 0.874
8 W 0.250 0.627 0.877

[4]
Ta7W | PBEsol | relaxed

Calculated values
VASP energy, eV/atom: -12.726
Magnetic moment, μB per formula unit: 0.00

abc: 6.524 6.524 6.524
angles: 89.93 89.93 89.93
Atoms (fractional coordinates):
1 Ta 0.627 0.627 0.627
2 Ta 0.122 0.628 0.628
3 Ta 0.628 0.122 0.628
4 Ta 0.122 0.122 0.628
5 Ta 0.372 0.878 0.878
6 Ta 0.878 0.372 0.878
7 Ta 0.372 0.372 0.878
8 Ta 0.628 0.628 0.122
9 Ta 0.122 0.628 0.122
10 Ta 0.628 0.122 0.122
11 Ta 0.878 0.878 0.372
12 Ta 0.372 0.878 0.372
13 Ta 0.878 0.372 0.372
14 Ta 0.373 0.373 0.373
15 W 0.877 0.877 0.877
16 W 0.123 0.123 0.123

[5]
TaW2 | PBEsol | relaxed

Calculated values
VASP energy, eV/atom: -13.458
Magnetic moment, μB per formula unit: 0.00

abc: 2.767 2.767 6.930
angles: 97.61 97.61 109.68
Atoms (fractional coordinates):
1 W 0.669 0.669 0.338
2 W 0.331 0.331 0.662
3 Ta 0.000 0.000 0.000

[6]
TaW2 | PBEsol | relaxed

Calculated values
VASP energy, eV/atom: -13.473
Magnetic moment, μB per formula unit: 0.00

abc: 2.767 4.501 4.501
angles: 120.00 90.00 90.00
Atoms (fractional coordinates):
1 W 0.660 0.667 0.333
2 W 0.340 0.333 0.667
3 Ta 0.000 0.000 0.000